# Co2SiPb

Co2SiPb after structural relaxation (PBE, Alexandria via LeMat-Bulk).

Lattice parameters (Å, degrees): 5.1083 5.1083 5.1083 138.56 138.56 60.04
Fractional positions:
Co (0.0000, 0.0000, 0.0000)
Co (0.2500, 0.7500, 0.5000)
Si (0.7500, 0.2500, 0.5000)
Pb (0.5000, 0.5000, 0.0000)

Output
Energy relative to the lowest polymorph listed for this composition (meV/atom): 388
ΔE_f (raw) (meV/atom): 427.8
Total energy (eV per atom): -5.408



# ScTa2Te

ScTa2Te after structural relaxation (PBE, Alexandria via LeMat-Bulk).

Lattice parameters (Å, degrees): 3.6180 3.6178 6.1193 90.00 90.00 90.00
Fractional positions:
Te (0.5000, 0.5000, 0.2500)
Ta (0.0000, 0.0000, 0.4773)
Ta (0.0000, 0.0000, 0.0227)
Sc (0.5000, 0.5000, 0.7500)

Output
Energy relative to the lowest polymorph listed for this composition (meV/atom): 282
ΔE_f (raw) (meV/atom): 160.9
Total energy (eV per atom): -8.134



# Np2Ga5Ir3

Np2Ga5Ir3 after structural relaxation (PBE, Alexandria via LeMat-Bulk).

Lattice parameters (Å, degrees): 4.2834 6.7515 12.5728 90.00 99.81 90.00
Fractional positions:
Ga (0.2937, 0.8949, 0.5874)
Ga (0.8735, 0.7558, 0.7470)
Ga (0.0536, 0.6062, 0.1072)
Ga (0.1265, 0.2558, 0.2530)
Ga (0.7081, 0.9976, 0.4163)
Ga (0.7063, 0.3949, 0.4126)
Ga (0.6026, 0.9141, 0.2052)
Ga (0.9464, 0.1062, 0.8928)
Ga (0.2919, 0.4976, 0.5837)
Ga (0.3974, 0.4141, 0.7948)
Ir (0.7710, 0.6946, 0.5421)
Ir (0.0476, 0.9982, 0.0953)
Ir (0.9524, 0.4982, 0.9047)
Ir (0.2290, 0.1946, 0.4579)
Ir (0.3926, 0.0209, 0.7852)
Ir (0.6074, 0.5209, 0.2148)
Np (0.5202, 0.2754, 0.0405)
Np (0.1742, 0.7071, 0.3485)
Np (0.4798, 0.7754, 0.9595)
Np (0.8258, 0.2071, 0.6515)

Output
ΔE_f (eV per atom): -0.4328
Total energy (eV per atom): -7.193



# Ba2ZrFe

Ba2ZrFe after structural relaxation (PBE, Alexandria via LeMat-Bulk).

Lattice parameters (Å, degrees): 5.4941 5.4941 5.4941 60.00 60.00 60.00
Fractional positions:
Zr (0.5000, 0.5000, 0.5000)
Fe (0.0000, 0.0000, 0.0000)
Ba (0.7500, 0.7500, 0.7500)
Ba (0.2500, 0.2500, 0.2500)

Output
Energy relative to the lowest polymorph listed for this composition (meV/atom): 901
ΔE_f (eV per atom): 1.2844
Total energy (eV per atom): -3.930



# HfV5Ge2

HfV5Ge2 after structural relaxation (PBE, Alexandria via LeMat-Bulk).

Lattice parameters (Å, degrees): 3.2914 6.3708 6.3708 74.52 75.03 75.03
Fractional positions:
Hf (0.0000, 0.0000, 0.0000)
V (0.3561, 0.4526, 0.8352)
V (0.0000, 0.5000, 0.5000)
V (0.6439, 0.1648, 0.5474)
V (0.3561, 0.8352, 0.4526)
V (0.6439, 0.5474, 0.1648)
Ge (0.2701, 0.2299, 0.2299)
Ge (0.7299, 0.7701, 0.7701)

Output
ΔE_f (eV per atom): -0.2446
Total energy (eV per atom): -8.342



# BaLiSiPt

BaLiSiPt after structural relaxation (PBE, Alexandria via LeMat-Bulk).

Lattice parameters (Å, degrees): 4.3142 4.3137 6.2713 110.12 90.00 120.00
Fractional positions:
Li (0.8090, 0.6180, 0.0694)
Si (0.1039, 0.2078, 0.9542)
Ba (0.6239, 0.2478, 0.5138)
Pt (0.4295, 0.8590, 0.9299)

Output
ΔE_f (raw) (meV/atom): -681.2
Total energy (eV per atom): -4.506